[1]
# CaCoCl, relaxed, DFT PBE-GGA
data_CaCoCl
_cell_length_a 6.7039
_cell_length_b 3.8725
_cell_length_c 11.5870
_cell_angle_alpha 90.00
_cell_angle_beta 104.84
_cell_angle_gamma 90.00
_symmetry_space_group_name_H-M 'C 1 m 1'
_symmetry_Int_Tables_number 8
loop_
_symmetry_equiv_pos_as_xyz
'x,y,z'
'x,-y,z'
'x+1/2,y+1/2,z'
'x+1/2,-y+1/2,z'
loop_
_atom_site_label
_atom_site_type_symbol
_atom_site_fract_x
_atom_site_fract_y
_atom_site_fract_z
Ca1 Ca 0.0000 0.0000 0.0000
Ca2 Ca 0.1765 0.0000 0.3980
Co1 Co 0.2547 0.5000 0.1990
Co2 Co 0.4214 0.0000 0.1990
Cl1 Cl 0.1054 0.5000 0.8619
Cl2 Cl 0.4042 0.5000 0.5362
# **Energy relative to the elements, uncorrected**: -1039 meV/atom

[2]
# NbSiOF2, relaxed, DFT PBE-GGA
data_NbSiOF2
_cell_length_a 4.5338
_cell_length_b 4.5338
_cell_length_c 3.3172
_cell_angle_alpha 90.00
_cell_angle_beta 90.00
_cell_angle_gamma 90.00
_symmetry_space_group_name_H-M 'P 4/m m m'
_symmetry_Int_Tables_number 123
_symmetry_space_group_name_Hall '-P 4 2'
loop_
_atom_site_label
_atom_site_type_symbol
_atom_site_fract_x
_atom_site_fract_y
_atom_site_fract_z
Nb1 Nb 0.0000 0.0000 0.0000
Si1 Si 0.5000 0.5000 0.5000
O1 O 0.5000 0.5000 0.0000
F1 F 0.0000 0.5000 0.5000
# **Energy relative to the elements, uncorrected**: -795 meV/atom
# **Energy relative to the lowest polymorph listed for this composition**: 0.4762 eV per atom